VASP calculation (GGA-PBE) on SiHgF3 after structural relaxation.

```
SiHgF3
1.0
4.192 0.000 0.000
0.000 4.192 0.000
0.000 0.000 4.192
Si Hg F
1 1 3
Direct
0.000 0.000 0.000 Si
0.500 0.500 0.500 Hg
0.000 0.000 0.500 F
0.000 0.500 0.000 F
0.500 0.000 0.000 F
```

Output
final energy = -3.688 eV/atom
formation energy without anion corrections = -1.420 eV per atom